[1]
# KCo2Hg, optimized geometry, DFT GGA-PBE
data_KCo2Hg
_cell_length_a 5.3590
_cell_length_b 5.3590
_cell_length_c 5.3590
_cell_angle_alpha 134.33
_cell_angle_beta 134.33
_cell_angle_gamma 66.58
_space_group_name_H-M_alt 'P 1'
_space_group_IT_number 1
loop_
_space_group_symop_operation_xyz
'x,y,z'
loop_
_atom_site_label
_atom_site_fract_x
_atom_site_fract_y
_atom_site_fract_z
K1 0.7500 0.2500 0.5000
Co1 0.0000 0.0000 0.0000
Co2 0.5000 0.5000 0.0000
Hg1 0.2500 0.7500 0.5000
# * symmetry: I4/mmm
# * ΔE_f: 1074 meV/atom


[2]
# In3ReCl, optimized geometry, DFT GGA-PBE
data_In3ReCl
_cell_length_a 5.3886
_cell_length_b 5.3886
_cell_length_c 5.3886
_cell_angle_alpha 90.00
_cell_angle_beta 90.00
_cell_angle_gamma 90.00
_space_group_name_H-M_alt 'P 1'
_space_group_IT_number 1
loop_
_space_group_symop_operation_xyz
'x,y,z'
loop_
_atom_site_label
_atom_site_fract_x
_atom_site_fract_y
_atom_site_fract_z
In1 0.0000 0.5000 0.0000
In2 0.0000 0.0000 0.5000
In3 0.5000 0.0000 0.0000
Re1 0.5000 0.5000 0.5000
Cl1 0.0000 0.0000 0.0000
# * symmetry: Pm-3m
# * ΔE to the lowest computed polymorph: 0.967 eV per atom
# * energy relative to the elements, uncorrected: 1264 meV per atom


[3]
# InHgGePb, optimized geometry, DFT GGA-PBE
data_InHgGePb
_cell_length_a 5.2720
_cell_length_b 5.2720
_cell_length_c 5.2720
_cell_angle_alpha 60.00
_cell_angle_beta 60.00
_cell_angle_gamma 60.00
_space_group_name_H-M_alt 'P 1'
_space_group_IT_number 1
loop_
_space_group_symop_operation_xyz
'x,y,z'
loop_
_atom_site_label
_atom_site_fract_x
_atom_site_fract_y
_atom_site_fract_z
In1 0.5000 0.5000 0.5000
Pb1 0.0000 0.0000 0.0000
Ge1 0.2500 0.2500 0.2500
Hg1 0.7500 0.7500 0.7500
# * symmetry: F-43m
# * ΔE_f: 125 meV/atom


[4]
# Sr2TlCd4Au3, optimized geometry, DFT GGA-PBE
data_Sr2TlCd4Au3
_cell_length_a 4.4907
_cell_length_b 4.4907
_cell_length_c 13.0009
_cell_angle_alpha 90.00
_cell_angle_beta 90.00
_cell_angle_gamma 90.00
_space_group_name_H-M_alt 'P 1'
_space_group_IT_number 1
loop_
_space_group_symop_operation_xyz
'x,y,z'
loop_
_atom_site_label
_atom_site_fract_x
_atom_site_fract_y
_atom_site_fract_z
Au1 0.0000 0.0000 0.5000
Au2 0.5000 0.0000 0.8589
Au3 0.0000 0.5000 0.1411
Sr1 0.5000 0.0000 0.2333
Sr2 0.0000 0.5000 0.7667
Cd1 0.5000 0.5000 0.0000
Cd2 0.5000 0.0000 0.6470
Cd3 0.0000 0.5000 0.3530
Cd4 0.0000 0.0000 0.0000
Tl1 0.5000 0.5000 0.5000
# * symmetry: P-4m2
# * ΔE_f: -393 meV/atom


[5]
# Sb3RuPb, optimized geometry, DFT GGA-PBE
data_Sb3RuPb
_cell_length_a 5.1941
_cell_length_b 5.1941
_cell_length_c 5.1941
_cell_angle_alpha 90.00
_cell_angle_beta 90.00
_cell_angle_gamma 90.00
_space_group_name_H-M_alt 'P 1'
_space_group_IT_number 1
loop_
_space_group_symop_operation_xyz
'x,y,z'
loop_
_atom_site_label
_atom_site_fract_x
_atom_site_fract_y
_atom_site_fract_z
Pb1 0.5000 0.5000 0.5000
Sb1 0.0000 0.5000 0.0000
Sb2 0.0000 0.0000 0.5000
Sb3 0.5000 0.0000 0.0000
Ru1 0.0000 0.0000 0.0000
# * symmetry: Pm-3m
# * ΔE to the lowest computed polymorph: 0.000 eV per atom
# * energy relative to the elements, uncorrected: 347 meV per atom


[6]
# Li2CaNi3, optimized geometry, DFT GGA-PBE
data_Li2CaNi3
_cell_length_a 5.0282
_cell_length_b 6.3991
_cell_length_c 6.3991
_cell_angle_alpha 77.41
_cell_angle_beta 66.87
_cell_angle_gamma 66.87
_space_group_name_H-M_alt 'P 1'
_space_group_IT_number 1
loop_
_space_group_symop_operation_xyz
'x,y,z'
loop_
_atom_site_label
_atom_site_fract_x
_atom_site_fract_y
_atom_site_fract_z
Li1 0.3337 0.9164 0.9164
Li2 0.6665 0.5836 0.5836
Li3 0.3335 0.4164 0.4164
Li4 0.6663 0.0836 0.0836
Ni1 0.5000 0.5000 0.0000
Ni2 0.0000 0.2499 0.7501
Ni3 0.0000 0.7501 0.2499
Ni4 0.5000 0.7499 0.2501
Ni5 0.5000 0.2501 0.7499
Ni6 0.5000 0.0000 0.5000
Ca1 0.0000 0.2500 0.2500
Ca2 0.0000 0.7500 0.7500
# * symmetry: Cmmm
# * ΔE_f: -38 meV/atom


[7]
# SmHo3Tl3, optimized geometry, DFT GGA-PBE
data_SmHo3Tl3
_cell_length_a 5.2227
_cell_length_b 9.4335
_cell_length_c 9.4335
_cell_angle_alpha 120.00
_cell_angle_beta 90.00
_cell_angle_gamma 90.00
_space_group_name_H-M_alt 'P 1'
_space_group_IT_number 1
loop_
_space_group_symop_operation_xyz
'x,y,z'
loop_
_atom_site_label
_atom_site_fract_x
_atom_site_fract_y
_atom_site_fract_z
Tl1 0.7500 0.6230 0.5515
Tl2 0.2500 0.5515 0.9284
Tl3 0.7500 0.4485 0.0716
Tl4 0.7500 0.9284 0.3770
Tl5 0.2500 0.0716 0.6230
Tl6 0.2500 0.3770 0.4485
Ho1 0.2500 0.2321 0.0008
Ho2 0.2500 0.7687 0.7679
Ho3 0.7500 0.7679 0.9992
Ho4 0.2500 0.9992 0.2313
Ho5 0.7500 0.2313 0.2321
Ho6 0.7500 0.0008 0.7687
Sm1 0.7500 0.3333 0.6667
Sm2 0.2500 0.6667 0.3333
# * symmetry: P6_3/m
# * ΔE to the lowest computed polymorph: 0.006 eV per atom
# * ΔE_f: -240 meV/atom


[8]
# CaLa4Nd5, optimized geometry, DFT GGA-PBE
data_CaLa4Nd5
_cell_length_a 5.9896
_cell_length_b 9.1674
_cell_length_c 10.4319
_cell_angle_alpha 42.75
_cell_angle_beta 73.32
_cell_angle_gamma 70.93
_space_group_name_H-M_alt 'P 1'
_space_group_IT_number 1
loop_
_space_group_symop_operation_xyz
'x,y,z'
loop_
_atom_site_label
_atom_site_fract_x
_atom_site_fract_y
_atom_site_fract_z
La1 0.3966 0.7986 0.4082
La2 0.7973 0.6771 0.7283
La3 0.2027 0.3229 0.2717
La4 0.6034 0.2014 0.5918
Nd1 0.1985 0.8377 0.7654
Nd2 0.3897 0.3149 0.9056
Nd3 0.6103 0.6851 0.0944
Nd4 0.8015 0.1623 0.2346
Nd5 0.0000 0.5000 0.5000
Ca1 0.0000 0.0000 0.0000
# * symmetry: C2/m
# * ΔE to the lowest computed polymorph: 0.052 eV per atom
# * ΔE_f: 76 meV/atom


[9]
# CaTi2Al2, optimized geometry, DFT GGA-PBE
data_CaTi2Al2
_cell_length_a 7.9054
_cell_length_b 7.9054
_cell_length_c 3.1418
_cell_angle_alpha 90.00
_cell_angle_beta 90.00
_cell_angle_gamma 90.00
_space_group_name_H-M_alt 'P 1'
_space_group_IT_number 1
loop_
_space_group_symop_operation_xyz
'x,y,z'
loop_
_atom_site_label
_atom_site_fract_x
_atom_site_fract_y
_atom_site_fract_z
Al1 0.3775 0.8775 0.0000
Al2 0.1225 0.3775 0.0000
Al3 0.8775 0.6225 0.0000
Al4 0.6225 0.1225 0.0000
Ti1 0.3296 0.1704 0.5000
Ti2 0.1704 0.6704 0.5000
Ti3 0.8296 0.3296 0.5000
Ti4 0.6704 0.8296 0.5000
Ca1 0.0000 0.0000 0.0000
Ca2 0.5000 0.5000 0.0000
# * symmetry: P4/mbm
# * ΔE to the lowest computed polymorph: 0.083 eV per atom
# * ΔE_f: -69 meV/atom


[10]
# MnFe2Si, optimized geometry, DFT GGA-PBE
data_MnFe2Si
_cell_length_a 7.9340
_cell_length_b 7.9340
_cell_length_c 7.9340
_cell_angle_alpha 18.69
_cell_angle_beta 18.69
_cell_angle_gamma 18.69
_space_group_name_H-M_alt 'P 1'
_space_group_IT_number 1
loop_
_space_group_symop_operation_xyz
'x,y,z'
loop_
_atom_site_label
_atom_site_fract_x
_atom_site_fract_y
_atom_site_fract_z
Mn1 0.4998 0.4998 0.4998
Si1 0.7484 0.7484 0.7484
Fe1 0.0015 0.0015 0.0015
Fe2 0.2502 0.2502 0.2502
# * symmetry: R3m
# * energy relative to the elements, uncorrected: -32 meV per atom


[11]
# CdCoAg2, optimized geometry, DFT GGA-PBE
data_CdCoAg2
_cell_length_a 2.7967
_cell_length_b 2.7967
_cell_length_c 9.2071
_cell_angle_alpha 90.00
_cell_angle_beta 90.00
_cell_angle_gamma 108.15
_space_group_name_H-M_alt 'P 1'
_space_group_IT_number 1
loop_
_space_group_symop_operation_xyz
'x,y,z'
loop_
_atom_site_label
_atom_site_fract_x
_atom_site_fract_y
_atom_site_fract_z
Co1 0.5000 0.5000 0.7500
Ag1 0.0000 0.0000 0.9796
Ag2 0.0000 0.0000 0.5204
Cd1 0.5000 0.5000 0.2500
# * symmetry: Cmmm
# * ΔE_f: 300 meV/atom


[12]
# KNaLi2Te, optimized geometry, DFT GGA-PBE
data_KNaLi2Te
_cell_length_a 5.4028
_cell_length_b 6.8250
_cell_length_c 5.4028
_cell_angle_alpha 90.00
_cell_angle_beta 90.00
_cell_angle_gamma 90.00
_space_group_name_H-M_alt 'P 1'
_space_group_IT_number 1
loop_
_space_group_symop_operation_xyz
'x,y,z'
loop_
_atom_site_label
_atom_site_fract_x
_atom_site_fract_y
_atom_site_fract_z
K1 0.0000 0.5000 0.0000
Li1 0.0000 0.0000 0.5000
Li2 0.5000 0.0000 0.0000
Na1 0.5000 0.5000 0.5000
Te1 0.0000 0.0000 0.0000
# * symmetry: P4/mmm
# * energy relative to the elements, uncorrected: -414 meV per atom


[13]
# SmZn2Rh2, optimized geometry, DFT GGA-PBE
data_SmZn2Rh2
_cell_length_a 5.6422
_cell_length_b 5.6422
_cell_length_c 7.3771
_cell_angle_alpha 101.00
_cell_angle_beta 101.00
_cell_angle_gamma 120.25
_space_group_name_H-M_alt 'P 1'
_space_group_IT_number 1
loop_
_space_group_symop_operation_xyz
'x,y,z'
loop_
_atom_site_label
_atom_site_fract_x
_atom_site_fract_y
_atom_site_fract_z
Zn1 0.5229 0.7741 0.0475
Zn2 0.4771 0.2259 0.9525
Zn3 0.7259 0.9771 0.4525
Zn4 0.2741 0.0229 0.5475
Rh1 0.1605 0.3395 0.7500
Rh2 0.8395 0.6605 0.2500
Rh3 0.4094 0.0906 0.2500
Rh4 0.5906 0.9094 0.7500
Sm1 0.1248 0.3752 0.2500
Sm2 0.8752 0.6248 0.7500
# * symmetry: C2/c
# * ΔE to the lowest computed polymorph: 0.161 eV per atom
# * ΔE_f: -355 meV/atom


[14]
# RbBO2, optimized geometry, DFT GGA-PBE
data_RbBO2
_cell_length_a 4.0651
_cell_length_b 6.0411
_cell_length_c 5.9242
_cell_angle_alpha 112.85
_cell_angle_beta 99.35
_cell_angle_gamma 110.74
_space_group_name_H-M_alt 'P 1'
_space_group_IT_number 1
loop_
_space_group_symop_operation_xyz
'x,y,z'
loop_
_atom_site_label
_atom_site_fract_x
_atom_site_fract_y
_atom_site_fract_z
B1 0.2508 0.0008 0.5016
B2 0.7492 0.9992 0.4984
O1 0.5041 0.9369 0.6515
O2 0.4959 0.0631 0.3485
O3 0.8526 0.7854 0.3485
O4 0.1474 0.2146 0.6515
Rb1 0.9057 0.6557 0.8113
Rb2 0.0943 0.3443 0.1887
# * symmetry: C2/c
# * energy relative to the elements, uncorrected: -2210 meV per atom


[15]
# RbGaO2, optimized geometry, DFT GGA-PBE
data_RbGaO2
_cell_length_a 3.1664
_cell_length_b 3.1664
_cell_length_c 6.6647
_cell_angle_alpha 90.00
_cell_angle_beta 90.00
_cell_angle_gamma 120.00
_space_group_name_H-M_alt 'P 1'
_space_group_IT_number 1
loop_
_space_group_symop_operation_xyz
'x,y,z'
loop_
_atom_site_label
_atom_site_fract_x
_atom_site_fract_y
_atom_site_fract_z
Ga1 0.0000 0.0000 0.9918
Rb1 0.3333 0.6667 0.4530
O1 0.6667 0.3333 0.1584
O2 0.3333 0.6667 0.8518
# * symmetry: P3m1
# * energy relative to the elements, uncorrected: -1447 meV per atom


[16]
# ZnOs2Pt, optimized geometry, DFT GGA-PBE
data_ZnOs2Pt
_cell_length_a 4.7921
_cell_length_b 4.7921
_cell_length_c 4.7921
_cell_angle_alpha 132.83
_cell_angle_beta 132.83
_cell_angle_gamma 68.91
_space_group_name_H-M_alt 'P 1'
_space_group_IT_number 1
loop_
_space_group_symop_operation_xyz
'x,y,z'
loop_
_atom_site_label
_atom_site_fract_x
_atom_site_fract_y
_atom_site_fract_z
Os1 0.5000 0.5000 0.0000
Os2 0.0000 0.0000 0.0000
Zn1 0.7500 0.2500 0.5000
Pt1 0.2500 0.7500 0.5000
# * symmetry: I4/mmm
# * ΔE_f: 259 meV/atom


[17]
# Cd8Ag2Sn, optimized geometry, DFT GGA-PBE
data_Cd8Ag2Sn
_cell_length_a 5.4037
_cell_length_b 7.7498
_cell_length_c 7.7319
_cell_angle_alpha 59.92
_cell_angle_beta 77.81
_cell_angle_gamma 65.07
_space_group_name_H-M_alt 'P 1'
_space_group_IT_number 1
loop_
_space_group_symop_operation_xyz
'x,y,z'
loop_
_atom_site_label
_atom_site_fract_x
_atom_site_fract_y
_atom_site_fract_z
Cd1 0.1574 0.9065 0.7650
Cd2 0.2940 0.4182 0.0000
Cd3 0.8426 0.0935 0.2350
Cd4 0.5000 0.2266 0.5468
Cd5 0.7060 0.5818 0.0000
Cd6 0.1574 0.6714 0.2350
Cd7 0.5000 0.7734 0.4532
Cd8 0.8426 0.3286 0.7650
Sn1 0.5000 0.0000 0.0000
Ag1 0.0000 0.3049 0.3902
Ag2 0.0000 0.6951 0.6098
# * symmetry: C2/m
# * ΔE_f: 51 meV/atom


[18]
# LiSmThGa, optimized geometry, DFT GGA-PBE
data_LiSmThGa
_cell_length_a 5.2024
_cell_length_b 5.2024
_cell_length_c 5.2024
_cell_angle_alpha 60.00
_cell_angle_beta 60.00
_cell_angle_gamma 60.00
_space_group_name_H-M_alt 'P 1'
_space_group_IT_number 1
loop_
_space_group_symop_operation_xyz
'x,y,z'
loop_
_atom_site_label
_atom_site_fract_x
_atom_site_fract_y
_atom_site_fract_z
Li1 0.7500 0.7500 0.7500
Th1 0.0000 0.0000 0.0000
Sm1 0.5000 0.5000 0.5000
Ga1 0.2500 0.2500 0.2500
# * symmetry: F-43m
# * ΔE_f: -195 meV/atom


[19]
# Re2MoRh, optimized geometry, DFT GGA-PBE
data_Re2MoRh
_cell_length_a 4.4044
_cell_length_b 4.4044
_cell_length_c 4.4703
_cell_angle_alpha 60.49
_cell_angle_beta 60.49
_cell_angle_gamma 60.00
_space_group_name_H-M_alt 'P 1'
_space_group_IT_number 1
loop_
_space_group_symop_operation_xyz
'x,y,z'
loop_
_atom_site_label
_atom_site_fract_x
_atom_site_fract_y
_atom_site_fract_z
Mo1 0.5007 0.5007 0.4979
Re1 0.0172 0.0172 0.9483
Re2 0.2522 0.2522 0.2434
Rh1 0.7299 0.7299 0.8104
# * symmetry: R3m
# * ΔE to the lowest computed polymorph: 0.311 eV per atom
# * ΔE_f: 272 meV/atom


[20]
# AcSmHgRu, optimized geometry, DFT GGA-PBE
data_AcSmHgRu
_cell_length_a 5.3029
_cell_length_b 5.3029
_cell_length_c 5.3029
_cell_angle_alpha 60.00
_cell_angle_beta 60.00
_cell_angle_gamma 60.00
_space_group_name_H-M_alt 'P 1'
_space_group_IT_number 1
loop_
_space_group_symop_operation_xyz
'x,y,z'
loop_
_atom_site_label
_atom_site_fract_x
_atom_site_fract_y
_atom_site_fract_z
Sm1 0.0000 0.0000 0.0000
Ru1 0.2500 0.2500 0.2500
Ac1 0.5000 0.5000 0.5000
Hg1 0.7500 0.7500 0.7500
# * symmetry: F-43m
# * ΔE_f: -182 meV/atom


| no. | electronic total energy (eV per atom) |
| --- | --- |
| 1 | -2.829 |
| 2 | -3.238 |
| 3 | -2.717 |
| 4 | -2.315 |
| 5 | -4.723 |
| 6 | -3.900 |
| 7 | -3.890 |
| 8 | -4.479 |
| 9 | -5.124 |
| 10 | -7.912 |
| 11 | -3.131 |
| 12 | -2.292 |
| 13 | -4.749 |
| 14 | -6.600 |
| 15 | -4.925 |
| 16 | -7.184 |
| 17 | -1.497 |
| 18 | -4.465 |
| 19 | -10.497 |
| 20 | -4.783 |